Record 1
Below is an optimized crystal structure of TaMnCl2, with properties calculated at the PBE level.

a b c (Å): 4.631 4.631 4.631
angles (deg): 60.00 60.00 60.00
Fractional positions:
Ta 0.000 0.000 0.000
Mn 0.750 0.750 0.750
Cl 0.250 0.250 0.250
Cl 0.500 0.500 0.500

Properties
E_form (uncorrected)   0.674 eV/atom
Space-group type   F-43m, No. 216
Energy relative to the lowest polymorph listed for this composition   1256 meV/atom
Calculated volume   17.6 Å³/atom

***

Record 2
Below is an optimized crystal structure of TaMnCl, with properties calculated at the PBE level.

a b c (Å): 4.320 4.320 2.898
angles (deg): 90.00 90.00 120.00
Fractional positions:
Ta 0.000 0.000 0.000
Mn 0.667 0.333 0.372
Cl 0.333 0.667 0.188

Properties
E_form (uncorrected)   0.467 eV/atom
Space-group type   P3m1, No. 156
Energy relative to the lowest polymorph listed for this composition   418 meV/atom
Calculated volume   15.6 Å³/atom

***

Record 3
Below is an optimized crystal structure of TaMnCl2, with properties calculated at the PBE level.

a b c (Å): 6.165 6.165 6.165
angles (deg): 127.51 127.51 77.42
Fractional positions:
Ta 0.000 0.000 0.000
Ta 0.750 0.250 0.500
Mn 0.250 0.750 0.500
Mn 0.500 0.500 0.000
Cl 0.163 0.625 0.038
Cl 0.375 0.413 0.538
Cl 0.587 0.125 0.962
Cl 0.875 0.837 0.462

Properties
E_form (uncorrected)   0.717 eV/atom
Space-group type   I-42d, No. 122
Energy relative to the lowest polymorph listed for this composition   1299 meV/atom
Calculated volume   17.9 Å³/atom

***

Record 4
Below is an optimized crystal structure of TaMnCl, with properties calculated at the PBE level.

a b c (Å): 7.123 7.123 7.123
angles (deg): 156.00 156.00 34.20
Fractional positions:
Ta 0.000 0.000 0.000
Mn 0.631 0.631 0.000
Cl 0.372 0.372 0.000

Properties
E_form (uncorrected)   0.168 eV/atom
Space-group type   I4mm, No. 107
Energy relative to the lowest polymorph listed for this composition   119 meV/atom
Calculated volume   19.9 Å³/atom